# PmEr2ZrN4

Crystalline PmEr2ZrN4 at its relaxed geometry (GGA-PBE, Alexandria).

Cell lengths 5.9137, 3.4189, 5.9482 Å; angles 90.00, 109.25, 90.00 degrees
Last column: nearest neighbours and their distance in Å.
Space group P2/m (No. 10)
Symmetry-distinct sites (fractional):
1 Pm 0.0000 0.0000 0.0000 x1  6 N 2.46-2.47
2 Er 0.5000 0.0000 0.5000 x1  6 N 2.38
3 Er 0.5000 0.5000 0.0000 x1  6 N 2.47-2.49
4 Zr 0.0000 0.5000 0.5000 x1  6 N 2.35-2.37
5 N 0.2439 0.0000 0.7353 x2  2 Zr 2.37, 3 Er 2.38-2.47, 1 Pm 2.46
6 N 0.2512 0.5000 0.2664 x2  1 Zr 2.35, 3 Er 2.38-2.49, 2 Pm 2.47

Output
As for the calculated total energy: -0.3172 Ha/atom. The theoretical density comes out at 9.2 g cm⁻³.